# 1
A plane-wave DFT calculation with GGA-PBE was carried out for a relaxed AlFe crystal.

Lattice parameters (Å, degrees): 3.945 3.945 12.008 90.00 90.00 120.00
Fractional coordinates of all 12 atoms:
Al: 0.000 0.000 0.109
Al: 0.000 0.000 0.891
Al: 0.333 0.667 0.557
Al: 0.333 0.667 0.776
Al: 0.667 0.333 0.224
Al: 0.667 0.333 0.443
Fe: 0.000 0.000 0.321
Fe: 0.000 0.000 0.679
Fe: 0.333 0.667 0.345
Fe: 0.333 0.667 0.988
Fe: 0.667 0.333 0.012
Fe: 0.667 0.333 0.655

final energy = -12.47 eV per formula unit
E_form = -132.6 meV/atom

# 2
A plane-wave DFT calculation with GGA-PBE was carried out for a relaxed Al2Fe crystal.

Lattice parameters (Å, degrees): 4.179 4.179 2.629 90.00 90.00 90.00
Fractional coordinates of all 3 atoms:
Al: 0.000 0.500 0.000
Al: 0.500 0.000 0.000
Fe: 0.000 0.000 0.500

final energy = -16.83 eV per formula unit
E_form = -293.5 meV/atom